Entry from Alexandria via LeMat-Bulk: a relaxed Dy2Cu2Ag crystal (PBE).

E_tot   -4.32 eV/atom
Crystal system   tetragonal
Total magnetization   0.00 μB per formula unit
Theoretical density   9.04 g/cm³
Symmetry   P4/mbm (127)

abc: 7.4395 7.4395 3.7156
angles: 90.00 90.00 90.00
Element x y z (fractional)
Dy  0.1766  0.3234  0.0000
Dy  0.3234  0.8234  0.0000
Dy  0.6766  0.1766  0.0000
Dy  0.8234  0.6766  0.0000
Cu  0.1192  0.6192  0.5000
Cu  0.3808  0.1192  0.5000
Cu  0.6192  0.8808  0.5000
Cu  0.8808  0.3808  0.5000
Ag  0.0000  0.0000  0.5000
Ag  0.5000  0.5000  0.5000

Entry from Alexandria via LeMat-Bulk: a relaxed SmTm2ScS6 crystal (PBE).

Crystal system   trigonal
Total magnetization   0.00 μB per formula unit
Formation energy from raw total energies   -1.99 eV per atom
Theoretical density   4.95 g/cm³
Symmetry   R3 (146)

abc: 7.2415 7.2415 7.2415
angles: 55.99 55.99 55.99
Element x y z (fractional)
Sm  0.0000  0.0000  0.0000
Tm  0.2938  0.2938  0.2938
Tm  0.7990  0.7990  0.7990
Sc  0.4922  0.4922  0.4922
S  0.0980  0.6822  0.4111
S  0.2125  0.5887  0.8817
S  0.4111  0.0980  0.6822
S  0.5887  0.8817  0.2125
S  0.6822  0.4111  0.0980
S  0.8817  0.2125  0.5887

Entry from Alexandria via LeMat-Bulk: a relaxed DyZn2Rh crystal (PBE).

E_tot   -4.04 eV/atom
Crystal system   cubic
Total magnetization   0.00 μB per formula unit
Theoretical density   9.52 g/cm³
Symmetry   Fm-3m (225)

abc: 4.6060 4.6060 4.6060
angles: 60.00 60.00 60.00
Element x y z (fractional)
Dy  0.0000  0.0000  0.0000
Zn  0.2500  0.2500  0.2500
Zn  0.7500  0.7500  0.7500
Rh  0.5000  0.5000  0.5000

Entry from Alexandria via LeMat-Bulk: a relaxed Nd3CdRh crystal (PBE).

Offset from the most stable computed form   0.0000 eV/atom
Crystal system   monoclinic
Total magnetization   0.00 μB per formula unit
Theoretical density   7.36 g/cm³
Symmetry   C2/m (12)

abc: 8.4661 8.4661 10.6943
angles: 123.84 123.84 27.78
Element x y z (fractional)
Nd  0.0863  0.0863  0.4521
Nd  0.3307  0.3307  0.1972
Nd  0.3630  0.3630  0.7833
Nd  0.6370  0.6370  0.2167
Nd  0.6693  0.6693  0.8028
Nd  0.9137  0.9137  0.5479
Cd  0.0687  0.0687  0.9248
Cd  0.9313  0.9313  0.0752
Rh  0.2679  0.2679  0.4177
Rh  0.7321  0.7321  0.5823

Entry from Alexandria via LeMat-Bulk: a relaxed Rb2CaP2O6 crystal (PBE).

Crystal system   trigonal
Total magnetization   0.00 μB per formula unit
Formation energy from raw total energies   -2.43 eV per atom
Theoretical density   3.45 g/cm³
Symmetry   R-3m (166)

abc: 6.7392 6.7392 6.7392
angles: 52.32 52.32 52.32
Element x y z (fractional)
Rb  0.2279  0.2279  0.2279
Rb  0.7721  0.7721  0.7721
Ca  0.0000  0.0000  0.0000
P  0.4364  0.4364  0.4364
P  0.5636  0.5636  0.5636
O  0.2671  0.2671  0.6996
O  0.2671  0.6996  0.2671
O  0.3004  0.7329  0.7329
O  0.6996  0.2671  0.2671
O  0.7329  0.3004  0.7329
O  0.7329  0.7329  0.3004

Entry from Alexandria via LeMat-Bulk: a relaxed YHfTa crystal (PBE).

Offset from the most stable computed form   0.0666 eV/atom
Crystal system   tetragonal
Total magnetization   0.00 μB per formula unit
Theoretical density   10.35 g/cm³
Symmetry   I4mm (107)

abc: 5.9480 5.9480 5.9480
angles: 144.10 144.10 51.68
Element x y z (fractional)
Y  0.0000  0.0000  0.0000
Hf  0.2981  0.2981  0.0000
Ta  0.6913  0.6913  0.0000

Entry from Alexandria via LeMat-Bulk: a relaxed Ca3PmNd3Te8 crystal (PBE).

Crystal system   trigonal
Total magnetization   0.00 μB per formula unit
Formation energy from raw total energies   -1.52 eV per atom
Theoretical density   5.56 g/cm³
Symmetry   R-3m (166)

abc: 9.0328 9.0328 9.0328
angles: 59.31 59.31 59.31
Element x y z (fractional)
Ca  0.0000  0.5000  0.5000
Ca  0.5000  0.0000  0.5000
Ca  0.5000  0.5000  0.0000
Pm  0.5000  0.5000  0.5000
Nd  0.0000  0.0000  0.5000
Nd  0.0000  0.5000  0.0000
Nd  0.5000  0.0000  0.0000
Te  0.2487  0.2487  0.7504
Te  0.2487  0.7504  0.2487
Te  0.2496  0.7513  0.7513
Te  0.2514  0.2514  0.2514
Te  0.7486  0.7486  0.7486
Te  0.7504  0.2487  0.2487
Te  0.7513  0.2496  0.7513
Te  0.7513  0.7513  0.2496

Entry from Alexandria via LeMat-Bulk: a relaxed Tm8Ag2Ru crystal (PBE).

Offset from the most stable computed form   0.0000 eV/atom
Crystal system   monoclinic
Total magnetization   0.00 μB per formula unit
Theoretical density   9.81 g/cm³
Symmetry   C2/m (12)

abc: 8.9250 8.9250 6.7668
angles: 107.77 107.77 33.56
Element x y z (fractional)
Tm  0.0272  0.0272  0.2939
Tm  0.1972  0.1972  0.8004
Tm  0.3400  0.3400  0.5349
Tm  0.4087  0.4087  0.0706
Tm  0.5913  0.5913  0.9294
Tm  0.6600  0.6600  0.4651
Tm  0.8028  0.8028  0.1996
Tm  0.9728  0.9728  0.7061
Ag  0.1830  0.1830  0.2085
Ag  0.8170  0.8170  0.7915
Ru  0.5000  0.5000  0.5000